BePN2 after structural relaxation, computed with PBE. Values from VASP.

```
&SYSTEM
  ibrav = 0, nat = 4, ntyp = 3
/
ATOMIC_SPECIES
Be 9.01 Be.upf
N 14.01 N.upf
P 30.97 P.upf
ATOMIC_POSITIONS angstrom
Be 0.000 0.000 0.000
N 0.000 0.000 1.635
N 0.000 0.000 13.993
P 0.000 0.000 7.814
CELL_PARAMETERS angstrom
1.581 0.000 5.209
-0.791 1.369 5.209
-0.791 -1.369 5.209
```

Computed properties:
Its density of states at the Fermi level is 1.6 states/eV/cell. Its energy relative to the elements, uncorrected is -0.0089 eV per atom. As for the total moment: 0.00 μB per atom. For the relative energy among the computed polymorphs, the calculation gives 0.227 eV/atom. For the total energy, the calculation gives -6.46 eV per atom.